Record 1
Crystalline SrTaTl2 at its relaxed geometry, computed with PBE-GGA.

Unit cell a=5.299 b=5.299 c=19.275 alpha=90.00 beta=90.00 gamma=90.00
Space group I-42d (No. 122)
Symmetry-distinct sites (fractional):
Sr 0.000 0.000 0.000 (multiplicity 4)
Ta 0.000 0.000 0.500 (multiplicity 4)
Tl 0.149 0.250 0.625 (multiplicity 8)

## Properties
Energy of formation from the pure elements (eV/atom): 0.758
E_tot (eV per atom): -3.808
Total moment (μB/cell): 4.11

***

Record 2
Crystalline SrTaTl2 at its relaxed geometry, computed with PBE-GGA.

Unit cell a=3.3855 b=3.3855 c=31.3358 alpha=90.00 beta=90.00 gamma=120.00
Space group R-3m (No. 166, hexagonal axes)
Symmetry-distinct sites (fractional):
Sr 0.0000 0.0000 0.0000 (multiplicity 3)
Ta 0.0000 0.0000 0.5000 (multiplicity 3)
Tl 0.0000 0.0000 0.2434 (multiplicity 6)

## Properties
Energy of formation from the pure elements (eV/atom): 0.434
E_tot (eV per atom): -4.133
Total moment (μB/cell): 0.00

***

Record 3
Crystalline SrTa4Tl at its relaxed geometry, computed with PBE-GGA.

Unit cell a=8.153 b=8.153 c=8.153 alpha=90.00 beta=90.00 gamma=90.00
Space group F-43m (No. 216)
Symmetry-distinct sites (fractional):
Sr 0.000 0.000 0.000 (multiplicity 4)
Ta 0.129 0.129 0.629 (multiplicity 16)
Tl 0.250 0.250 0.250 (multiplicity 4)

## Properties
Energy of formation from the pure elements (eV/atom): 0.654
E_tot (eV per atom): -7.923
Total moment (μB/cell): 0.00

***

Record 4
Crystalline SrTaTl2 at its relaxed geometry, computed with PBE-GGA.

Unit cell a=4.320 b=4.911 c=10.083 alpha=90.00 beta=90.00 gamma=90.00
Space group Cmm2 (No. 35)
Symmetry-distinct sites (fractional):
Sr 0.000 0.000 0.000 (multiplicity 2)
Ta 0.000 0.500 0.747 (multiplicity 2)
Tl 0.000 0.000 0.534 (multiplicity 2)
Tl 0.000 0.500 0.286 (multiplicity 2)

## Properties
Energy of formation from the pure elements (eV/atom): 0.535
E_tot (eV per atom): -4.032
Total moment (μB/cell): 0.60

***

Record 5
Crystalline SrTa2Tl at its relaxed geometry, computed with PBE-GGA.

Unit cell a=3.1423 b=3.1423 c=32.6305 alpha=90.00 beta=90.00 gamma=120.00
Space group R-3m (No. 166, hexagonal axes)
Symmetry-distinct sites (fractional):
Sr 0.0000 0.0000 0.0000 (multiplicity 3)
Ta 0.0000 0.0000 0.2432 (multiplicity 6)
Tl 0.0000 0.0000 0.5000 (multiplicity 3)

## Properties
Energy of formation from the pure elements (eV/atom): 0.914
E_tot (eV per atom): -6.024
ΔE to the lowest computed polymorph (meV per atom): 554
Total moment (μB/cell): 0.01

***

Record 6
Crystalline SrTa2Tl at its relaxed geometry, computed with PBE-GGA.

Unit cell a=3.189 b=5.557 c=5.425 alpha=90.00 beta=93.99 gamma=90.00
Space group P2/m (No. 10)
Symmetry-distinct sites (fractional):
Sr 0.000 0.000 0.000 (multiplicity 1)
Ta 0.380 0.500 0.743 (multiplicity 2)
Tl 0.500 0.000 0.500 (multiplicity 1)

## Properties
Energy of formation from the pure elements (eV/atom): 0.776
E_tot (eV per atom): -6.162
ΔE to the lowest computed polymorph (meV per atom): 416
Total moment (μB/cell): 0.00

***

Record 7
Crystalline SrTaTl2 at its relaxed geometry, computed with PBE-GGA.

Unit cell a=5.548 b=5.548 c=3.288 alpha=90.00 beta=90.00 gamma=90.00
Space group P4/mmm (No. 123)
Symmetry-distinct sites (fractional):
Sr 0.000 0.000 0.000 (multiplicity 1)
Ta 0.500 0.500 0.000 (multiplicity 1)
Tl 0.000 0.500 0.500 (multiplicity 2)

## Properties
Energy of formation from the pure elements (eV/atom): 0.511
E_tot (eV per atom): -4.056
Total moment (μB/cell): 0.00

***

Record 8
Crystalline SrTa2Tl at its relaxed geometry, computed with PBE-GGA.

Unit cell a=3.141 b=5.368 c=5.487 alpha=90.00 beta=90.00 gamma=90.00
Space group Pmmm (No. 47)
Symmetry-distinct sites (fractional):
Sr 0.000 0.000 0.000 (multiplicity 1)
Ta 0.000 0.500 0.500 (multiplicity 1)
Ta 0.500 0.000 0.500 (multiplicity 1)
Tl 0.500 0.500 0.000 (multiplicity 1)

## Properties
Energy of formation from the pure elements (eV/atom): 0.840
E_tot (eV per atom): -6.098
ΔE to the lowest computed polymorph (meV per atom): 480
Total moment (μB/cell): 0.00

***

Record 9
Crystalline Sr4TaTl at its relaxed geometry, computed with PBE-GGA.

Unit cell a=9.725 b=9.725 c=9.725 alpha=90.00 beta=90.00 gamma=90.00
Space group F-43m (No. 216)
Symmetry-distinct sites (fractional):
Sr 0.124 0.124 0.124 (multiplicity 16)
Ta 0.250 0.250 0.750 (multiplicity 4)
Tl 0.000 0.000 0.500 (multiplicity 4)

## Properties
Energy of formation from the pure elements (eV/atom): 0.980
E_tot (eV per atom): -2.511
Total moment (μB/cell): 16.57

***

Record 10
Crystalline SrTaTl2 at its relaxed geometry, computed with PBE-GGA.

Unit cell a=4.916 b=4.916 c=4.347 alpha=90.00 beta=90.00 gamma=90.00
Space group P4/mmm (No. 123)
Symmetry-distinct sites (fractional):
Sr 0.000 0.000 0.000 (multiplicity 1)
Ta 0.500 0.500 0.000 (multiplicity 1)
Tl 0.000 0.500 0.500 (multiplicity 2)

## Properties
Energy of formation from the pure elements (eV/atom): 0.568
E_tot (eV per atom): -3.999
Total moment (μB/cell): 1.33

***

Record 11
Crystalline Sr3TaTl at its relaxed geometry, computed with PBE-GGA.

Unit cell a=6.196 b=6.196 c=6.196 alpha=90.00 beta=90.00 gamma=90.00
Space group Pm-3m (No. 221)
Symmetry-distinct sites (fractional):
Sr 0.000 0.000 0.500 (multiplicity 3)
Ta 0.500 0.500 0.500 (multiplicity 1)
Tl 0.000 0.000 0.000 (multiplicity 1)

## Properties
Energy of formation from the pure elements (eV/atom): 1.046
E_tot (eV per atom): -2.807
ΔE to the lowest computed polymorph (meV per atom): 144
Total moment (μB/cell): 3.96

***

Record 12
Crystalline SrTaTl2 at its relaxed geometry, computed with PBE-GGA.

Unit cell a=7.711 b=7.711 c=7.711 alpha=90.00 beta=90.00 gamma=90.00
Space group F-43m (No. 216)
Symmetry-distinct sites (fractional):
Sr 0.000 0.000 0.000 (multiplicity 4)
Ta 0.250 0.250 0.250 (multiplicity 4)
Tl 0.000 0.000 0.500 (multiplicity 4)
Tl 0.250 0.250 0.750 (multiplicity 4)

## Properties
Energy of formation from the pure elements (eV/atom): 0.821
E_tot (eV per atom): -3.745
Total moment (μB/cell): 13.47

***

Record 13
Crystalline SrTaTlV2 at its relaxed geometry, computed with PBE-GGA.

Unit cell a=4.617 b=4.617 c=5.098 alpha=90.00 beta=90.00 gamma=90.00
Space group P4/mmm (No. 123)
Symmetry-distinct sites (fractional):
Sr 0.000 0.000 0.000 (multiplicity 1)
Ta 0.000 0.000 0.500 (multiplicity 1)
Tl 0.500 0.500 0.500 (multiplicity 1)
V 0.000 0.500 0.000 (multiplicity 2)

## Properties
Energy of formation from the pure elements (eV/atom): 2.496
E_tot (eV per atom): -4.332
Total moment (μB/cell): 0.00

***

Record 14
Crystalline Sr2TaV at its relaxed geometry, computed with PBE-GGA.

Unit cell a=8.792 b=8.792 c=6.001 alpha=90.00 beta=90.00 gamma=90.00
Space group I-42d (No. 122)
Symmetry-distinct sites (fractional):
Sr 0.227 0.750 0.125 (multiplicity 8)
Ta 0.000 0.000 0.500 (multiplicity 4)
V 0.000 0.000 0.000 (multiplicity 4)

## Properties
Energy of formation from the pure elements (eV/atom): 1.552
E_tot (eV per atom): -4.532
ΔE to the lowest computed polymorph (meV per atom): 149
Total moment (μB/cell): 14.77

***

Record 15
Crystalline SrTa3V at its relaxed geometry, computed with PBE-GGA.

Unit cell a=4.857 b=4.857 c=4.857 alpha=90.00 beta=90.00 gamma=90.00
Space group Pm-3m (No. 221)
Symmetry-distinct sites (fractional):
Sr 0.000 0.000 0.000 (multiplicity 1)
Ta 0.000 0.500 0.500 (multiplicity 3)
V 0.500 0.500 0.500 (multiplicity 1)

## Properties
Energy of formation from the pure elements (eV/atom): 1.094
E_tot (eV per atom): -8.178
ΔE to the lowest computed polymorph (meV per atom): 0
Total moment (μB/cell): 0.00

***

Record 16
Crystalline SrTa2V at its relaxed geometry, computed with PBE-GGA.

Unit cell a=5.187 b=5.187 c=17.419 alpha=90.00 beta=90.00 gamma=90.00
Space group I-42d (No. 122)
Symmetry-distinct sites (fractional):
Sr 0.000 0.000 0.000 (multiplicity 4)
Ta 0.001 0.750 0.625 (multiplicity 8)
V 0.000 0.000 0.500 (multiplicity 4)

## Properties
Energy of formation from the pure elements (eV/atom): 1.475
E_tot (eV per atom): -7.151
ΔE to the lowest computed polymorph (meV per atom): 322
Total moment (μB/cell): 0.00

***

Record 17
Crystalline Sr2TaV at its relaxed geometry, computed with PBE-GGA.

Unit cell a=7.739 b=7.739 c=7.739 alpha=90.00 beta=90.00 gamma=90.00
Space group Fm-3m (No. 225)
Symmetry-distinct sites (fractional):
Sr 0.250 0.250 0.250 (multiplicity 8)
Ta 0.000 0.000 0.000 (multiplicity 4)
V 0.000 0.000 0.500 (multiplicity 4)

## Properties
Energy of formation from the pure elements (eV/atom): 1.404
E_tot (eV per atom): -4.680
ΔE to the lowest computed polymorph (meV per atom): 0
Total moment (μB/cell): 16.83

***

Record 18
Crystalline SrTa2V at its relaxed geometry, computed with PBE-GGA.

Unit cell a=6.837 b=6.837 c=6.837 alpha=90.00 beta=90.00 gamma=90.00
Space group Fm-3m (No. 225)
Symmetry-distinct sites (fractional):
Sr 0.000 0.000 0.000 (multiplicity 4)
Ta 0.250 0.250 0.250 (multiplicity 8)
V 0.000 0.000 0.500 (multiplicity 4)

## Properties
Energy of formation from the pure elements (eV/atom): 1.153
E_tot (eV per atom): -7.474
ΔE to the lowest computed polymorph (meV per atom): 0
Total moment (μB/cell): 2.84

***

Record 19
Crystalline SrTa3V at its relaxed geometry, computed with PBE-GGA.

Unit cell a=4.859 b=4.859 c=4.859 alpha=90.00 beta=90.00 gamma=90.00
Space group Pm-3m (No. 221)
Symmetry-distinct sites (fractional):
Sr 0.000 0.000 0.000 (multiplicity 1)
Ta 0.000 0.000 0.500 (multiplicity 3)
V 0.500 0.500 0.500 (multiplicity 1)

## Properties
Energy of formation from the pure elements (eV/atom): 3.007
E_tot (eV per atom): -6.265
ΔE to the lowest computed polymorph (meV per atom): 1913
Total moment (μB/cell): 2.01

***

Record 20
Crystalline Sr2TaVW at its relaxed geometry, computed with PBE-GGA.

Unit cell a=5.676 b=5.676 c=4.646 alpha=90.00 beta=90.00 gamma=90.00
Space group P4/mmm (No. 123)
Symmetry-distinct sites (fractional):
Sr 0.000 0.500 0.000 (multiplicity 2)
Ta 0.000 0.000 0.500 (multiplicity 1)
V 0.000 0.000 0.000 (multiplicity 1)
W 0.500 0.500 0.500 (multiplicity 1)

## Properties
Energy of formation from the pure elements (eV/atom): 1.960
E_tot (eV per atom): -5.497
Total moment (μB/cell): 4.93

***

Record 21
Crystalline SrTaW4 at its relaxed geometry, computed with PBE-GGA.

Unit cell a=7.730 b=7.730 c=7.730 alpha=90.00 beta=90.00 gamma=90.00
Space group F-43m (No. 216)
Symmetry-distinct sites (fractional):
Sr 0.000 0.000 0.000 (multiplicity 4)
Ta 0.250 0.250 0.750 (multiplicity 4)
W 0.125 0.125 0.375 (multiplicity 16)

## Properties
Energy of formation from the pure elements (eV/atom): 0.602
E_tot (eV per atom): -10.289
Total moment (μB/cell): 0.00

***

Record 22
Crystalline SrTaW3 at its relaxed geometry, computed with PBE-GGA.

Unit cell a=4.939 b=4.939 c=4.939 alpha=90.00 beta=90.00 gamma=90.00
Space group Pm-3m (No. 221)
Symmetry-distinct sites (fractional):
Sr 0.000 0.000 0.000 (multiplicity 1)
Ta 0.500 0.500 0.500 (multiplicity 1)
W 0.000 0.500 0.500 (multiplicity 3)

## Properties
Energy of formation from the pure elements (eV/atom): 1.880
E_tot (eV per atom): -8.599
ΔE to the lowest computed polymorph (meV per atom): 0
Total moment (μB/cell): 0.00

***

Record 23
Crystalline SrTa3W at its relaxed geometry, computed with PBE-GGA.

Unit cell a=5.011 b=5.011 c=5.011 alpha=90.00 beta=90.00 gamma=90.00
Space group Pm-3m (No. 221)
Symmetry-distinct sites (fractional):
Sr 0.000 0.000 0.000 (multiplicity 1)
Ta 0.000 0.500 0.500 (multiplicity 3)
W 0.500 0.500 0.500 (multiplicity 1)

## Properties
Energy of formation from the pure elements (eV/atom): 1.221
E_tot (eV per atom): -8.817
Total moment (μB/cell): 0.00

***

Record 24
Crystalline SrYTa2 at its relaxed geometry, computed with PBE-GGA.

Unit cell a=3.169 b=4.861 c=7.003 alpha=90.00 beta=90.00 gamma=90.00
Space group Pmmm (No. 47)
Symmetry-distinct sites (fractional):
Sr 0.000 0.000 0.000 (multiplicity 1)
Y 0.000 0.000 0.500 (multiplicity 1)
Ta 0.500 0.500 0.310 (multiplicity 2)

## Properties
Energy of formation from the pure elements (eV/atom): 0.785
E_tot (eV per atom): -7.178
ΔE to the lowest computed polymorph (meV per atom): 426
Total moment (μB/cell): 0.00

***

Record 25
Crystalline SrYTa2 at its relaxed geometry, computed with PBE-GGA.

Unit cell a=9.480 b=3.153 c=7.431 alpha=90.00 beta=93.09 gamma=90.00
Space group Cm (No. 8)
Symmetry-distinct sites (fractional):
Sr 0.000 0.000 0.000 (multiplicity 2)
Y 0.267 0.500 0.354 (multiplicity 2)
Ta 0.009 0.500 0.584 (multiplicity 2)
Ta 0.244 0.000 0.712 (multiplicity 2)

## Properties
Energy of formation from the pure elements (eV/atom): 0.621
E_tot (eV per atom): -7.342
ΔE to the lowest computed polymorph (meV per atom): 263
Total moment (μB/cell): 0.00

***

Record 26
Crystalline SrYTa2 at its relaxed geometry, computed with PBE-GGA.

Unit cell a=4.310 b=4.310 c=21.907 alpha=90.00 beta=90.00 gamma=90.00
Space group I-42d (No. 122)
Symmetry-distinct sites (fractional):
Sr 0.000 0.000 0.000 (multiplicity 4)
Y 0.000 0.000 0.500 (multiplicity 4)
Ta 0.234 0.250 0.625 (multiplicity 8)

## Properties
Energy of formation from the pure elements (eV/atom): 1.199
E_tot (eV per atom): -6.764
ΔE to the lowest computed polymorph (meV per atom): 841
Total moment (μB/cell): 0.00

***

Record 27
Crystalline SrY2Ta2 at its relaxed geometry, computed with PBE-GGA.

Unit cell a=3.866 b=3.866 c=22.048 alpha=90.00 beta=90.00 gamma=90.00
Space group I4/mmm (No. 139)
Symmetry-distinct sites (fractional):
Sr 0.000 0.000 0.000 (multiplicity 2)
Y 0.000 0.000 0.362 (multiplicity 4)
Ta 0.000 0.500 0.250 (multiplicity 4)

## Properties
Energy of formation from the pure elements (eV/atom): 0.578
E_tot (eV per atom): -7.085
ΔE to the lowest computed polymorph (meV per atom): 3
Total moment (μB/cell): 0.34

***

Record 28
Crystalline SrYTa2 at its relaxed geometry, computed with PBE-GGA.

Unit cell a=3.1913 b=3.1913 c=33.3960 alpha=90.00 beta=90.00 gamma=120.00
Space group R-3m (No. 166, hexagonal axes)
Symmetry-distinct sites (fractional):
Sr 0.0000 0.0000 0.0000 (multiplicity 3)
Y 0.0000 0.0000 0.5000 (multiplicity 3)
Ta 0.0000 0.0000 0.2455 (multiplicity 6)

## Properties
Energy of formation from the pure elements (eV/atom): 0.845
E_tot (eV per atom): -7.117
ΔE to the lowest computed polymorph (meV per atom): 487
Total moment (μB/cell): 0.00

***

Record 29
Crystalline SrYTa2 at its relaxed geometry, computed with PBE-GGA.

Unit cell a=4.285 b=4.299 c=10.618 alpha=90.00 beta=90.00 gamma=90.00
Space group Cmmm (No. 65)
Symmetry-distinct sites (fractional):
Sr 0.000 0.000 0.000 (multiplicity 2)
Y 0.000 0.000 0.500 (multiplicity 2)
Ta 0.000 0.500 0.270 (multiplicity 4)

## Properties
Energy of formation from the pure elements (eV/atom): 0.801
E_tot (eV per atom): -7.161
ΔE to the lowest computed polymorph (meV per atom): 443
Total moment (μB/cell): 0.00